A plane-wave DFT calculation with PBE-GGA was carried out for Li2TaF6 after structural relaxation.

Total magnetization = 4.00 μB/cell
Uncorrected energy = -5.5696 eV/atom

```
data_Li2TaF6
_chemical_formula_sum 'Li8 Ta4 F24'
_symmetry_space_group_name_H-M 'F m -3 m'
_symmetry_Int_Tables_number 225
_symmetry_space_group_name_Hall '-F 4 2 3'
_cell_length_a 7.5606
_cell_length_b 7.5606
_cell_length_c 7.5606
_cell_angle_alpha 90.00
_cell_angle_beta 90.00
_cell_angle_gamma 90.00
loop_
_atom_site_label
_atom_site_type_symbol
_atom_site_fract_x
_atom_site_fract_y
_atom_site_fract_z
Li1 Li 0.2500 0.2500 0.2500
Ta1 Ta 0.0000 0.0000 0.0000
F1 F 0.0000 0.0000 0.2593
```